# 1
DFT (PBE) results for an optimized crystal structure of Nb4Ga3.

CIF file:
```
data_Nb4Ga3
_cell_length_a 13.578
_cell_length_b 3.518
_cell_length_c 5.599
_cell_angle_alpha 90.00
_cell_angle_beta 108.82
_cell_angle_gamma 90.00
_space_group_name_H-M_alt 'C 1 2/m 1'
_space_group_IT_number 12
loop_
_space_group_symop_operation_xyz
'x,y,z'
'-x,-y,-z'
'-x,y,-z'
'x,-y,z'
'x+1/2,y+1/2,z'
'-x+1/2,-y+1/2,-z'
'-x+1/2,y+1/2,-z'
'x+1/2,-y+1/2,z'
loop_
_atom_site_label
_atom_site_type_symbol
_atom_site_fract_x
_atom_site_fract_y
_atom_site_fract_z
Nb1 Nb 0.067 0.000 0.375
Nb2 Nb 0.152 0.500 0.790
Ga1 Ga 0.000 0.500 0.000
Ga2 Ga 0.215 0.500 0.318
```

Output
V ... 18.1 Å³/atom
E_form ... -0.46 eV/f.u.

***

# 2
DFT (PBE) results for an optimized crystal structure of Pr2HoAlO.

CIF file:
```
data_Pr2HoAlO
_cell_length_a 5.017
_cell_length_b 5.017
_cell_length_c 4.657
_cell_angle_alpha 90.00
_cell_angle_beta 90.00
_cell_angle_gamma 90.00
_space_group_name_H-M_alt 'P 4/m m m'
_space_group_IT_number 123
_space_group_name_Hall '-P 4 2'
loop_
_atom_site_label
_atom_site_type_symbol
_atom_site_fract_x
_atom_site_fract_y
_atom_site_fract_z
Pr1 Pr 0.000 0.500 0.000
Ho1 Ho 0.000 0.000 0.500
Al1 Al 0.500 0.500 0.500
O1 O 0.000 0.000 0.000
```

Output
V ... 23.4 Å³/atom
Formation energy (no corrections) ... -1.3115 eV per atom

***

# 3
DFT (PBE) results for an optimized crystal structure of CaPmEr2Hg4.

CIF file:
```
data_CaPmEr2Hg4
_cell_length_a 5.2815
_cell_length_b 5.2815
_cell_length_c 25.9679
_cell_angle_alpha 90.00
_cell_angle_beta 90.00
_cell_angle_gamma 120.00
_space_group_name_H-M_alt 'R -3 m'
_space_group_IT_number 166
_space_group_name_Hall '-R 3 2"'
loop_
_atom_site_label
_atom_site_type_symbol
_atom_site_fract_x
_atom_site_fract_y
_atom_site_fract_z
Ca1 Ca 0.0000 0.0000 0.0000
Pm1 Pm 0.0000 0.0000 0.5000
Er1 Er 0.0000 0.0000 0.2520
Hg1 Hg 0.0000 0.0000 0.1245
Hg2 Hg 0.0000 0.0000 0.3751
```

Output
V ... 26.1 Å³/atom
E_form ... -3.97 eV/f.u.

***

# 4
DFT (PBE) results for an optimized crystal structure of ReHg2Rh.

CIF file:
```
data_ReHg2Rh
_cell_length_a 2.898
_cell_length_b 2.898
_cell_length_c 8.631
_cell_angle_alpha 90.00
_cell_angle_beta 90.00
_cell_angle_gamma 90.00
_space_group_name_H-M_alt 'P 4 m m'
_space_group_IT_number 99
loop_
_space_group_symop_operation_xyz
'x,y,z'
'-y,x,z'
'-x,-y,z'
'y,-x,z'
'-x,y,z'
'y,x,z'
'x,-y,z'
'-y,-x,z'
loop_
_atom_site_label
_atom_site_type_symbol
_atom_site_fract_x
_atom_site_fract_y
_atom_site_fract_z
Re1 Re 0.000 0.000 0.000
Hg1 Hg 0.000 0.000 0.439
Hg2 Hg 0.500 0.500 0.747
Rh1 Rh 0.500 0.500 0.188
```

Output
V ... 18.1 Å³/atom
Polymorph energy (0 for the lowest one) ... 0 meV per atom
E_form ... 1.09 eV/f.u.

***

# 5
DFT (PBE) results for an optimized crystal structure of BaCdP2O6.

CIF file:
```
data_BaCdP2O6
_cell_length_a 5.4788
_cell_length_b 5.4788
_cell_length_c 19.3427
_cell_angle_alpha 90.00
_cell_angle_beta 90.00
_cell_angle_gamma 120.00
_space_group_name_H-M_alt 'R -3'
_space_group_IT_number 148
_space_group_name_Hall '-R 3'
loop_
_atom_site_label
_atom_site_type_symbol
_atom_site_fract_x
_atom_site_fract_y
_atom_site_fract_z
Ba1 Ba 0.0000 0.0000 0.0000
Cd1 Cd 0.0000 0.0000 0.5000
P1 P 0.0000 0.0000 0.2557
O1 O 0.0244 0.2865 0.2373
```

Output
V ... 16.8 Å³/atom
Formation energy (no corrections) ... -1.9128 eV per atom

***

# 6
DFT (PBE) results for an optimized crystal structure of CeTh2NpP4.

CIF file:
```
data_CeTh2NpP4
_cell_length_a 5.791
_cell_length_b 5.791
_cell_length_c 11.590
_cell_angle_alpha 90.00
_cell_angle_beta 90.00
_cell_angle_gamma 90.00
_space_group_name_H-M_alt 'I -4 m 2'
_space_group_IT_number 119
_space_group_name_Hall 'I -4 -2'
loop_
_atom_site_label
_atom_site_type_symbol
_atom_site_fract_x
_atom_site_fract_y
_atom_site_fract_z
Ce1 Ce 0.000 0.000 0.000
Th1 Th 0.000 0.000 0.500
Th2 Th 0.000 0.500 0.250
Np1 Np 0.000 0.500 0.750
P1 P 0.000 0.000 0.248
P2 P 0.000 0.500 0.504
```

Output
V ... 24.3 Å³/atom
E_form ... -10.94 eV/f.u.